Record 1
This record from Alexandria describes a geometry-optimized CaTbThN3 structure. The functional is PBE.

Calculated values
Symmetry = P2_1/m (11)

Cell: 6.097 3.509 9.107 Å, 90.00 102.34 90.00°
Sites, in units of the cell vectors:
Ca 0.137 0.250 0.136
Ca 0.863 0.750 0.864
Tb 0.224 0.750 0.452
Tb 0.776 0.250 0.548
Th 0.359 0.250 0.810
Th 0.641 0.750 0.190
N 0.032 0.750 0.651
N 0.280 0.750 0.998
N 0.470 0.250 0.325
N 0.530 0.750 0.675
N 0.720 0.250 0.002
N 0.968 0.250 0.349

Record 2
This record from Alexandria describes a geometry-optimized Tl4SiS4 structure. The functional is PBE.

Calculated values
Polymorph energy (0 for the lowest one) = 0.00 eV per formula unit
Density of states at the Fermi level = 0.00 states/eV/cell
Symmetry = Cc (9)

Cell: 8.701 8.701 7.754 Å, 107.72 107.72 84.03°
Sites, in units of the cell vectors:
Tl 0.009 0.991 0.500
Tl 0.210 0.426 0.924
Tl 0.375 0.827 0.961
Tl 0.426 0.210 0.424
Tl 0.534 0.804 0.497
Tl 0.804 0.534 0.997
Tl 0.827 0.375 0.461
Tl 0.991 0.009 0.000
Si 0.177 0.593 0.450
Si 0.593 0.177 0.950
S 0.024 0.703 0.624
S 0.082 0.364 0.265
S 0.187 0.741 0.276
S 0.364 0.082 0.765
S 0.416 0.559 0.625
S 0.559 0.416 0.125
S 0.703 0.024 0.124
S 0.741 0.187 0.776

Record 3
This record from Alexandria describes a geometry-optimized PmTh2Sb structure. The functional is PBE.

Calculated values
Polymorph energy (0 for the lowest one) = 1.31 eV per formula unit
Density of states at the Fermi level = 7.90 states/eV/cell
Symmetry = Fm-3m (225)

Cell: 5.560 5.560 5.560 Å, 60.00 60.00 60.00°
Sites, in units of the cell vectors:
Pm 0.000 0.000 0.000
Th 0.250 0.250 0.250
Th 0.750 0.750 0.750
Sb 0.500 0.500 0.500

Record 4
This record from Alexandria describes a geometry-optimized TaRhAu2 structure. The functional is PBE.

Calculated values
Polymorph energy (0 for the lowest one) = 0.55 eV per formula unit
Density of states at the Fermi level = 2.67 states/eV/cell
Symmetry = C2/m (12)
Formation enthalpy at 0 K = -34 kJ/mol of formula units

Cell: 5.074 5.074 4.763 Å, 100.24 100.24 33.90°
Sites, in units of the cell vectors:
Ta 0.000 0.000 0.000
Rh 0.500 0.500 0.500
Au 0.251 0.251 0.751
Au 0.749 0.749 0.249

Record 5
This record from Alexandria describes a geometry-optimized Sr2TmSb3Pd4 structure. The functional is PBE.

Calculated values
Density of states at the Fermi level = 5.32 states/eV/cell
Symmetry = P-4m2 (115)

Cell: 4.591 4.591 11.452 Å, 90.00 90.00 90.00°
Sites, in units of the cell vectors:
Sr 0.000 0.500 0.226
Sr 0.500 0.000 0.774
Tm 0.000 0.000 0.500
Sb 0.000 0.500 0.873
Sb 0.500 0.000 0.127
Sb 0.500 0.500 0.500
Pd 0.000 0.000 0.000
Pd 0.000 0.500 0.641
Pd 0.500 0.000 0.359
Pd 0.500 0.500 0.000

Record 6
This record from Alexandria describes a geometry-optimized YGaPbO4 structure. The functional is PBE.

Calculated values
Density of states at the Fermi level = 0.00 states/eV/cell
Symmetry = P2_1/m (11)

Cell: 5.932 5.844 7.022 Å, 90.00 101.93 90.00°
Sites, in units of the cell vectors:
Y 0.187 0.250 0.070
Y 0.813 0.750 0.930
Ga 0.292 0.750 0.841
Ga 0.708 0.250 0.159
Pb 0.293 0.250 0.617
Pb 0.707 0.750 0.383
O 0.078 0.510 0.821
O 0.078 0.990 0.821
O 0.491 0.750 0.085
O 0.499 0.250 0.321
O 0.501 0.750 0.679
O 0.509 0.250 0.915
O 0.922 0.010 0.179
O 0.922 0.490 0.179

Record 7
This record from Alexandria describes a geometry-optimized Be2AgTe structure. The functional is PBE.

Calculated values
Density of states at the Fermi level = 3.60 states/eV/cell
Symmetry = F-43m (216)

Cell: 4.648 4.648 4.648 Å, 60.00 60.00 60.00°
Sites, in units of the cell vectors:
Be 0.000 0.000 0.000
Be 0.250 0.250 0.250
Ag 0.500 0.500 0.500
Te 0.750 0.750 0.750

Record 8
This record from Alexandria describes a geometry-optimized LaRuRh2 structure. The functional is PBE.

Calculated values
Polymorph energy (0 for the lowest one) = 2.14 eV per formula unit
Density of states at the Fermi level = 6.98 states/eV/cell
Symmetry = R3m (160)
Formation enthalpy at 0 K = 169 kJ/mol of formula units

Cell: 9.758 9.758 9.758 Å, 16.98 16.98 16.98°
Sites, in units of the cell vectors:
La 0.000 0.000 0.000
Ru 0.237 0.237 0.237
Rh 0.500 0.500 0.500
Rh 0.757 0.757 0.757

Record 9
This record from Alexandria describes a geometry-optimized FeB2Pt2 structure. The functional is PBE.

Calculated values
Polymorph energy (0 for the lowest one) = 0.45 eV per formula unit
Density of states at the Fermi level = 3.96 states/eV/cell
Symmetry = P4/mbm (127)
Formation enthalpy at 0 K = 59 kJ/mol of formula units

Cell: 5.554 5.554 3.479 Å, 90.00 90.00 90.00°
Sites, in units of the cell vectors:
Fe 0.000 0.000 0.000
Fe 0.500 0.500 0.000
B 0.119 0.381 0.000
B 0.381 0.881 0.000
B 0.619 0.119 0.000
B 0.881 0.619 0.000
Pt 0.199 0.699 0.500
Pt 0.301 0.199 0.500
Pt 0.699 0.801 0.500
Pt 0.801 0.301 0.500

Record 10
This record from Alexandria describes a geometry-optimized Hf5ZnBi structure. The functional is PBE.

Calculated values
Density of states at the Fermi level = 13.45 states/eV/cell
Symmetry = C2/c (15)
Formation enthalpy at 0 K = 117 kJ/mol of formula units

Cell: 6.061 6.061 10.288 Å, 108.30 108.30 75.37°
Sites, in units of the cell vectors:
Hf 0.003 0.239 0.997
Hf 0.092 0.339 0.754
Hf 0.162 0.838 0.750
Hf 0.239 0.003 0.497
Hf 0.339 0.092 0.254
Hf 0.661 0.908 0.746
Hf 0.761 0.997 0.503
Hf 0.838 0.162 0.250
Hf 0.908 0.661 0.246
Hf 0.997 0.761 0.003
Zn 0.000 0.500 0.500
Zn 0.500 0.000 0.000
Bi 0.427 0.573 0.250
Bi 0.573 0.427 0.750

Record 11
This record from Alexandria describes a geometry-optimized TbTaCo2 structure. The functional is PBE.

Calculated values
Density of states at the Fermi level = 5.29 states/eV/cell
Symmetry = P4/mmm (123)
Formation enthalpy at 0 K = -57 kJ/mol of formula units

Cell: 3.103 3.103 6.857 Å, 90.00 90.00 90.00°
Sites, in units of the cell vectors:
Tb 0.000 0.000 0.000
Ta 0.000 0.000 0.500
Co 0.500 0.500 0.301
Co 0.500 0.500 0.699

Record 12
This record from Alexandria describes a geometry-optimized KMgPb2 structure. The functional is PBE.

Calculated values
Density of states at the Fermi level = 1.26 states/eV/cell
Symmetry = Pm (6)
Formation enthalpy at 0 K = -11 kJ/mol of formula units

Cell: 3.703 5.301 6.740 Å, 90.00 90.63 90.00°
Sites, in units of the cell vectors:
K 0.000 0.000 0.000
Mg 0.986 0.500 0.415
Pb 0.492 0.000 0.480
Pb 0.497 0.500 0.787

no.,VASP energy (eV/atom),magnetic moment (Bohr magnetons per cell)
1,-7.83,0.00
2,-4.03,0.00
3,-6.04,0.00
4,-6.53,0.00
5,-4.96,0.00
6,-6.84,0.00
7,-2.48,0.00
8,-6.79,0.27
9,-6.66,0.02
10,-7.67,0.00
11,-7.82,0.00
12,-2.56,0.00